First-principles (GGA-PBEsol) data for FeRePbO2 after structural relaxation, as listed in Alexandria.

Geometry as extended XYZ:
```
5
Lattice="3.776 0.000 0.000 0.000 3.776 0.000 0.000 0.000 5.209" Properties=species:S:1:pos:R:3 pbc="T T T"
Fe 0.000 0.000 0.000
Re 0.000 0.000 2.604
Pb 1.888 1.888 0.000
O 0.000 1.888 2.604
O 1.888 0.000 2.604
```

Properties
Space-group type: P4/mmm
ρ: 10762 kg/m3

=====

First-principles (GGA-PBEsol) data for FeSb3Pb4O13 after structural relaxation, as listed in Alexandria.

Geometry as extended XYZ:
```
21
Lattice="3.714 2.144 5.933 -3.714 2.144 5.933 0.000 -4.289 5.933" Properties=species:S:1:pos:R:3 pbc="T T T"
Fe 0.000 0.000 0.000
Sb 0.000 -2.148 2.985
Sb -1.860 1.074 2.985
Sb 1.860 1.074 2.985
Pb -1.814 -1.047 5.973
Pb 1.814 -1.047 5.973
Pb 0.000 2.095 5.973
Pb 0.000 0.000 8.876
O 0.000 -2.660 4.911
O -2.303 1.330 4.911
O -2.253 -1.301 8.474
O -2.278 -1.315 12.914
O 0.000 -2.577 9.381
O -2.232 1.289 9.381
O 0.000 0.000 11.158
O 2.253 -1.301 8.474
O 0.000 2.601 8.474
O 2.303 1.330 4.911
O 2.232 1.289 9.381
O 2.278 -1.315 12.914
O 0.000 2.631 12.914
```

Properties
Space-group type: R3m
ρ: 8538 kg/m3

=====

First-principles (GGA-PBEsol) data for FePd2O2 after structural relaxation, as listed in Alexandria.

Geometry as extended XYZ:
```
5
Lattice="-2.222 2.222 3.155 2.222 -2.222 3.155 2.222 2.222 -3.155" Properties=species:S:1:pos:R:3 pbc="T T T"
Fe 0.000 0.000 0.000
Pd 2.222 0.000 1.577
Pd 0.000 2.222 1.577
O 0.000 0.000 1.779
O 0.000 0.000 4.531
```

Properties
Space-group type: I4/mmm
ρ: 8014 kg/m3

=====

First-principles (GGA-PBEsol) data for FePtO3 after structural relaxation, as listed in Alexandria.

Geometry as extended XYZ:
```
5
Lattice="3.891 0.000 0.000 0.000 3.891 0.000 0.000 0.000 3.891" Properties=species:S:1:pos:R:3 pbc="T T T"
Fe 0.000 0.000 0.000
Pt 1.946 1.946 1.946
O 0.000 1.946 1.946
O 1.946 0.000 1.946
O 1.946 1.946 0.000
```

Properties
Space-group type: Pm-3m
ρ: 8424 kg/m3

=====

Magnetization (computed, μB/f.u.): 2.06; 1.06; 3.40; 4.52
Formation energy (no corrections) (computed, meV/atom): -459.8; -1333.4; -132.1; 225.2
Total DFT energy (no corrections) (computed, eV per atom): -7.82; -6.42; -6.41; -6.11